# PBE+U Nd4MnNi3O12, relaxed
# space-group type	P-1
# volume	233.2	Å³/f.u.
# energy	-138.79	eV per formula unit
data_Nd4MnNi3O12
_cell_length_a 5.4335
_cell_length_b 5.5567
_cell_length_c 7.7224
_cell_angle_alpha 90.22
_cell_angle_beta 90.06
_cell_angle_gamma 90.14
_symmetry_space_group_name_H-M 'P 1'
_symmetry_Int_Tables_number 1
loop_
_symmetry_equiv_pos_as_xyz
'x,y,z'
loop_
_atom_site_label
_atom_site_fract_x
_atom_site_fract_y
_atom_site_fract_z
_atom_site_occupancy
Nd1 0.5127 0.5503 0.2525 1
Nd2 0.9888 0.0536 0.2518 1
Nd3 0.4873 0.4497 0.7475 1
Nd4 0.0112 0.9464 0.7482 1
Mn1 0.5000 0.0000 0.0000 1
Ni1 0.0000 0.5000 0.0000 1
Ni2 0.5000 0.0000 0.5000 1
Ni3 0.0000 0.5000 0.5000 1
O1 0.7841 0.7988 0.0429 1
O2 0.7156 0.2949 0.4563 1
O3 0.2048 0.2150 0.5445 1
O4 0.2997 0.7161 0.9549 1
O5 0.2159 0.2012 0.9571 1
O6 0.2844 0.7051 0.5437 1
O7 0.7952 0.7850 0.4555 1
O8 0.7003 0.2839 0.0451 1
O9 0.4187 0.9812 0.2434 1
O10 0.0832 0.4814 0.2557 1
O11 0.5813 0.0188 0.7566 1
O12 0.9168 0.5186 0.7443 1